Entry 1:
Computed, not measured: crystalline K3MnF8 at its relaxed geometry at the GGA+U level of DFT. Values from VASP.

Geometry as Quantum ESPRESSO input:
```
&SYSTEM
  ibrav = 0, nat = 12, ntyp = 3
/
ATOMIC_SPECIES
K 39.10 K.upf
Mn 54.94 Mn.upf
F 19.00 F.upf
CELL_PARAMETERS angstrom
-5.473 -3.562 -0.588
5.917 -1.357 -2.477
1.830 -3.885 6.500
ATOMIC_POSITIONS crystal
K 0.000 0.500 0.274
K 0.500 0.500 0.000
K 0.500 0.000 0.726
Mn 0.500 0.500 0.500
F 0.657 0.343 0.500
F 0.729 0.271 0.000
F 0.714 0.723 0.674
F 0.723 0.714 0.326
F 0.277 0.286 0.326
F 0.286 0.277 0.674
F 0.271 0.729 0.000
F 0.343 0.657 0.500
```



Entry 2:
Computed, not measured: crystalline KMnF2 at its relaxed geometry at the GGA+U level of DFT. Values from VASP.

Geometry as Quantum ESPRESSO input:
```
&SYSTEM
  ibrav = 0, nat = 4, ntyp = 3
/
ATOMIC_SPECIES
K 39.10 K.upf
Mn 54.94 Mn.upf
F 19.00 F.upf
CELL_PARAMETERS angstrom
6.216 3.752 1.036
7.281 0.131 0.872
6.648 2.060 -2.314
ATOMIC_POSITIONS crystal
K 0.500 0.500 0.500
Mn 0.000 0.000 0.000
F 0.905 0.905 0.905
F 0.095 0.095 0.095
```



Entry 3:
Computed, not measured: crystalline KMnF2 at its relaxed geometry at the GGA+U level of DFT. Values from VASP.

Geometry as Quantum ESPRESSO input:
```
&SYSTEM
  ibrav = 0, nat = 8, ntyp = 3
/
ATOMIC_SPECIES
K 39.10 K.upf
Mn 54.94 Mn.upf
F 19.00 F.upf
CELL_PARAMETERS angstrom
6.227 0.000 0.000
0.000 6.227 0.000
3.114 3.114 4.325
ATOMIC_POSITIONS crystal
K 0.500 0.500 0.000
K 0.250 0.750 0.500
Mn 0.000 0.000 0.000
Mn 0.750 0.250 0.500
F 0.697 0.125 0.250
F 0.053 0.625 0.250
F 0.375 0.303 0.750
F 0.875 0.947 0.750
```



Number 1: total energy -53.729 eV/f.u.. Number 2: total energy -20.492 eV/f.u.. Number 3: total energy -20.062 eV/f.u..